VASP calculation (GGA-PBE) on a relaxed PmGdBi2 crystal.

Output
Calculated volume, Å³ per cell: 130.28
M_tot, μB per formula unit: 0.01
Calculated density, Mg/m³: 9.18
E_tot, eV per atom: -5.306

a b c (Å): 4.516 4.516 6.387
angles (deg): 90.00 90.00 90.00
Fractional positions:
Pm 0.500 0.500 0.000
Gd 0.000 0.000 0.500
Bi 0.000 0.000 0.000
Bi 0.500 0.500 0.500